--- one ---
# TbThCuPt

A relaxed structure of TbThCuPt (GGA-PBE, Alexandria).

Values from the calculation:
The calculation puts the calculated volume at 22.58 A^3/atom.

Cell and atoms, written as CIF:
```
data_TbThCuPt
_chemical_formula_sum 'Tb4 Th4 Cu4 Pt4'
_cell_length_a 7.1227
_cell_length_b 7.1227
_cell_length_c 7.1227
_cell_angle_alpha 90.00
_cell_angle_beta 90.00
_cell_angle_gamma 90.00
_symmetry_space_group_name_H-M 'F -4 3 m'
_symmetry_Int_Tables_number 216
_symmetry_space_group_name_Hall 'F -4 2 3'
loop_
_atom_site_label
_atom_site_type_symbol
_atom_site_fract_x
_atom_site_fract_y
_atom_site_fract_z
Tb1 Tb 0.0000 0.0000 0.0000
Th1 Th 0.0000 0.0000 0.5000
Cu1 Cu 0.2500 0.2500 0.7500
Pt1 Pt 0.2500 0.2500 0.2500
```

--- two ---
# TbThCuPt

A relaxed structure of TbThCuPt (GGA-PBE, Alexandria).

Values from the calculation:
The calculation puts the calculated volume at 23.19 A^3/atom.

Cell and atoms, written as CIF:
```
data_TbThCuPt
_chemical_formula_sum 'Tb2 Th2 Cu2 Pt2'
_cell_length_a 4.5530
_cell_length_b 3.8375
_cell_length_c 10.6203
_cell_angle_alpha 90.00
_cell_angle_beta 90.00
_cell_angle_gamma 90.00
_symmetry_space_group_name_H-M 'A m m 2'
_symmetry_Int_Tables_number 38
_symmetry_space_group_name_Hall 'A 2 -2'
loop_
_atom_site_label
_atom_site_type_symbol
_atom_site_fract_x
_atom_site_fract_y
_atom_site_fract_z
Tb1 Tb 0.0000 0.0000 0.0000
Th1 Th 0.5000 0.0000 0.2787
Cu1 Cu 0.0000 0.0000 0.7197
Pt1 Pt 0.5000 0.0000 0.5616
```

Which structure is most stable? two, by 8.4 kJ/mol of atoms over the runner-up.

--- one ---
# CuTcPt4

A relaxed structure of CuTcPt4 (GGA-PBE, Alexandria).

Values from the calculation:
The calculation puts the calculated volume at 16.81 A^3/atom.

Cell and atoms, written as CIF:
```
data_CuTcPt4
_chemical_formula_sum 'Cu4 Tc4 Pt16'
_cell_length_a 7.3898
_cell_length_b 7.3898
_cell_length_c 7.3898
_cell_angle_alpha 90.00
_cell_angle_beta 90.00
_cell_angle_gamma 90.00
_symmetry_space_group_name_H-M 'F -4 3 m'
_symmetry_Int_Tables_number 216
_symmetry_space_group_name_Hall 'F -4 2 3'
loop_
_atom_site_label
_atom_site_type_symbol
_atom_site_fract_x
_atom_site_fract_y
_atom_site_fract_z
Cu1 Cu 0.0000 0.0000 0.0000
Tc1 Tc 0.2500 0.2500 0.2500
Pt1 Pt 0.1252 0.1252 0.6252
```

--- two ---
# CuTcPt4

A relaxed structure of CuTcPt4 (GGA-PBE, Alexandria).

Values from the calculation:
The calculation puts the calculated volume at 14.84 A^3/atom.

Cell and atoms, written as CIF:
```
data_CuTcPt4
_chemical_formula_sum 'Cu1 Tc1 Pt4'
_cell_length_a 2.7609
_cell_length_b 2.7609
_cell_length_c 11.6842
_cell_angle_alpha 90.00
_cell_angle_beta 90.00
_cell_angle_gamma 90.00
_symmetry_space_group_name_H-M 'P 4/m m m'
_symmetry_Int_Tables_number 123
_symmetry_space_group_name_Hall '-P 4 2'
loop_
_atom_site_label
_atom_site_type_symbol
_atom_site_fract_x
_atom_site_fract_y
_atom_site_fract_z
Cu1 Cu 0.0000 0.0000 0.0000
Tc1 Tc 0.5000 0.5000 0.5000
Pt1 Pt 0.0000 0.0000 0.3363
Pt2 Pt 0.5000 0.5000 0.1572
```

Which structure is most stable? two, by 46.3 kJ/mol of atoms over the runner-up.

--- one ---
# CuTc2Pt

A relaxed structure of CuTc2Pt (GGA-PBE, Alexandria).

Values from the calculation:
The calculation puts the calculated volume at 14.41 A^3/atom.

Cell and atoms, written as CIF:
```
data_CuTc2Pt
_chemical_formula_sum 'Cu3 Tc6 Pt3'
_cell_length_a 2.7388
_cell_length_b 2.7388
_cell_length_c 26.6113
_cell_angle_alpha 90.00
_cell_angle_beta 90.00
_cell_angle_gamma 120.00
_symmetry_space_group_name_H-M 'R 3 m'
_symmetry_Int_Tables_number 160
_symmetry_space_group_name_Hall 'R 3 -2"'
loop_
_atom_site_label
_atom_site_type_symbol
_atom_site_fract_x
_atom_site_fract_y
_atom_site_fract_z
Cu1 Cu 0.0000 0.0000 0.0000
Tc1 Tc 0.0000 0.0000 0.4956
Tc2 Tc 0.0000 0.0000 0.7505
Pt1 Pt 0.0000 0.0000 0.2514
```

--- two ---
# CuTc2Pt

A relaxed structure of CuTc2Pt (GGA-PBE, Alexandria).

Values from the calculation:
The calculation puts the calculated volume at 14.64 A^3/atom.

Cell and atoms, written as CIF:
```
data_CuTc2Pt
_chemical_formula_sum 'Cu2 Tc4 Pt2'
_cell_length_a 2.8529
_cell_length_b 4.5395
_cell_length_c 9.0438
_cell_angle_alpha 90.00
_cell_angle_beta 90.00
_cell_angle_gamma 90.00
_symmetry_space_group_name_H-M 'C m m 2'
_symmetry_Int_Tables_number 35
_symmetry_space_group_name_Hall 'C 2 -2'
loop_
_atom_site_label
_atom_site_type_symbol
_atom_site_fract_x
_atom_site_fract_y
_atom_site_fract_z
Cu1 Cu 0.0000 0.0000 0.0000
Tc1 Tc 0.0000 0.0000 0.5131
Tc2 Tc 0.0000 0.5000 0.7526
Pt1 Pt 0.0000 0.5000 0.2457
```

Which structure is most stable? one, by 19.1 kJ/mol of atoms over the runner-up.

--- one ---
# CuTc2Pt

A relaxed structure of CuTc2Pt (GGA-PBE, Alexandria).

Values from the calculation:
The calculation puts the calculated volume at 14.28 A^3/atom.

Cell and atoms, written as CIF:
```
data_CuTc2Pt
_chemical_formula_sum 'Cu2 Tc4 Pt2'
_cell_length_a 9.2366
_cell_length_b 2.7187
_cell_length_c 4.6149
_cell_angle_alpha 90.00
_cell_angle_beta 99.62
_cell_angle_gamma 90.00
_symmetry_space_group_name_H-M 'C 1 2/m 1'
_symmetry_Int_Tables_number 12
_symmetry_space_group_name_Hall '-C 2y'
loop_
_atom_site_label
_atom_site_type_symbol
_atom_site_fract_x
_atom_site_fract_y
_atom_site_fract_z
Cu1 Cu 0.0000 0.0000 0.0000
Tc1 Tc 0.2467 0.0000 0.7541
Pt1 Pt 0.0000 0.5000 0.5000
```

--- two ---
# CuTc2Pt

A relaxed structure of CuTc2Pt (GGA-PBE, Alexandria).

Values from the calculation:
The calculation puts the calculated volume at 14.58 A^3/atom.

Cell and atoms, written as CIF:
```
data_CuTc2Pt
_chemical_formula_sum 'Cu1 Tc2 Pt1'
_cell_length_a 4.6807
_cell_length_b 4.6807
_cell_length_c 2.6624
_cell_angle_alpha 90.00
_cell_angle_beta 90.00
_cell_angle_gamma 90.00
_symmetry_space_group_name_H-M 'P 4/m m m'
_symmetry_Int_Tables_number 123
_symmetry_space_group_name_Hall '-P 4 2'
loop_
_atom_site_label
_atom_site_type_symbol
_atom_site_fract_x
_atom_site_fract_y
_atom_site_fract_z
Cu1 Cu 0.0000 0.0000 0.0000
Tc1 Tc 0.0000 0.5000 0.5000
Pt1 Pt 0.5000 0.5000 0.0000
```

Which structure is most stable? one, by 24.1 kJ/mol of atoms over the runner-up.

--- one ---
# CuTc2Pt

A relaxed structure of CuTc2Pt (GGA-PBE, Alexandria).

Values from the calculation:
The calculation puts the calculated volume at 14.25 A^3/atom.

Cell and atoms, written as CIF:
```
data_CuTc2Pt
_chemical_formula_sum 'Cu1 Tc2 Pt1'
_cell_length_a 3.7055
_cell_length_b 3.7055
_cell_length_c 4.1507
_cell_angle_alpha 90.00
_cell_angle_beta 90.00
_cell_angle_gamma 90.00
_symmetry_space_group_name_H-M 'P 4/m m m'
_symmetry_Int_Tables_number 123
_symmetry_space_group_name_Hall '-P 4 2'
loop_
_atom_site_label
_atom_site_type_symbol
_atom_site_fract_x
_atom_site_fract_y
_atom_site_fract_z
Cu1 Cu 0.0000 0.0000 0.0000
Tc1 Tc 0.0000 0.5000 0.5000
Pt1 Pt 0.5000 0.5000 0.0000
```

--- two ---
# CuTc2Pt

A relaxed structure of CuTc2Pt (GGA-PBE, Alexandria).

Values from the calculation:
The calculation puts the calculated volume at 14.30 A^3/atom.

Cell and atoms, written as CIF:
```
data_CuTc2Pt
_chemical_formula_sum 'Cu1 Tc2 Pt1'
_cell_length_a 2.7204
_cell_length_b 4.0350
_cell_length_c 5.2123
_cell_angle_alpha 90.00
_cell_angle_beta 90.00
_cell_angle_gamma 90.00
_symmetry_space_group_name_H-M 'P m m m'
_symmetry_Int_Tables_number 47
_symmetry_space_group_name_Hall '-P 2 2'
loop_
_atom_site_label
_atom_site_type_symbol
_atom_site_fract_x
_atom_site_fract_y
_atom_site_fract_z
Cu1 Cu 0.0000 0.0000 0.0000
Tc1 Tc 0.5000 0.5000 0.2239
Pt1 Pt 0.0000 0.0000 0.5000
```

Which structure is most stable? two, by 4.6 kJ/mol of atoms over the runner-up.

--- one ---
# CuTc2Pt

A relaxed structure of CuTc2Pt (GGA-PBE, Alexandria).

Values from the calculation:
The calculation puts the calculated volume at 14.36 A^3/atom.

Cell and atoms, written as CIF:
```
data_CuTc2Pt
_chemical_formula_sum 'Cu3 Tc6 Pt3'
_cell_length_a 2.7251
_cell_length_b 2.7251
_cell_length_c 26.7897
_cell_angle_alpha 90.00
_cell_angle_beta 90.00
_cell_angle_gamma 120.00
_symmetry_space_group_name_H-M 'R -3 m'
_symmetry_Int_Tables_number 166
_symmetry_space_group_name_Hall '-R 3 2"'
loop_
_atom_site_label
_atom_site_type_symbol
_atom_site_fract_x
_atom_site_fract_y
_atom_site_fract_z
Cu1 Cu 0.0000 0.0000 0.0000
Tc1 Tc 0.0000 0.0000 0.2519
Pt1 Pt 0.0000 0.0000 0.5000
```

--- two ---
# CuTc2Pt

A relaxed structure of CuTc2Pt (GGA-PBE, Alexandria).

Values from the calculation:
The calculation puts the calculated volume at 14.23 A^3/atom.

Cell and atoms, written as CIF:
```
data_CuTc2Pt
_chemical_formula_sum 'Cu2 Tc4 Pt2'
_cell_length_a 3.8565
_cell_length_b 3.8565
_cell_length_c 7.6567
_cell_angle_alpha 90.00
_cell_angle_beta 90.00
_cell_angle_gamma 90.00
_symmetry_space_group_name_H-M 'I -4 m 2'
_symmetry_Int_Tables_number 119
_symmetry_space_group_name_Hall 'I -4 -2'
loop_
_atom_site_label
_atom_site_type_symbol
_atom_site_fract_x
_atom_site_fract_y
_atom_site_fract_z
Cu1 Cu 0.0000 0.0000 0.0000
Tc1 Tc 0.0000 0.0000 0.5000
Tc2 Tc 0.0000 0.5000 0.2500
Pt1 Pt 0.0000 0.5000 0.7500
```

Which structure is most stable? two, by 12.0 kJ/mol of atoms over the runner-up.